# 1
6
Lattice="13.892 0.000 0.000 0.000 1.757 3.044 0.000 -1.757 3.044" Properties=species:S:1:pos:R:3 comment="PBE TiZnI, optimized geometry" space_group=Amm2 formation_energy_uncorrected_ev_per_atom=0.029 dft_energy_ev_per_atom=-3.544 pbc="T T T"
Ti 0.000 0.000 0.000
Ti 6.946 0.000 0.015
Zn 5.123 0.000 4.074
Zn 8.768 0.000 4.074
I 1.886 0.000 2.029
I 12.005 0.000 2.029


# 2
8
Lattice="3.577 -6.802 0.000 3.577 6.802 0.000 -2.779 0.000 6.598" Properties=species:S:1:pos:R:3 comment="PBE TiZnI6, optimized geometry" space_group=C2/m formation_energy_uncorrected_ev_per_atom=-0.530 dft_energy_ev_per_atom=-2.839 pbc="T T T"
Ti 0.000 0.000 0.000
Zn 2.188 0.000 3.299
I 1.114 1.967 1.671
I -0.534 0.000 5.103
I 1.114 -1.967 1.671
I 3.261 1.967 4.927
I 4.909 0.000 1.495
I 3.261 -1.967 4.927


# 3
4
Lattice="0.000 3.728 3.728 3.728 0.000 3.728 3.728 3.728 0.000" Properties=species:S:1:pos:R:3 comment="PBE TiZnI2, optimized geometry" space_group=Fm-3m formation_energy_uncorrected_ev_per_atom=0.118 e_above_lowest_polymorph_mev_per_atom=168 dft_energy_ev_per_atom=-2.949 pbc="T T T"
Ti 0.000 0.000 0.000
Zn 3.728 3.728 3.728
I 1.864 1.864 1.864
I 5.593 5.593 5.593


# 4
4
Lattice="0.000 3.329 3.329 3.329 0.000 3.329 3.329 3.329 0.000" Properties=species:S:1:pos:R:3 comment="PBE Ti2ZnI, optimized geometry" space_group=Fm-3m formation_energy_uncorrected_ev_per_atom=0.301 e_above_lowest_polymorph_mev_per_atom=0 dft_energy_ev_per_atom=-4.353 pbc="T T T"
Ti 1.665 1.665 1.665
Ti 4.994 4.994 4.994
Zn 0.000 0.000 0.000
I 3.329 3.329 3.329


# 5
18
Lattice="7.376 -6.608 0.000 7.376 6.608 0.000 -1.392 0.000 7.141" Properties=species:S:1:pos:R:3 comment="PBE ZrTi2I6, optimized geometry" space_group=C2/c formation_energy_uncorrected_ev_per_atom=-0.447 e_above_lowest_polymorph_mev_per_atom=252 dft_energy_ev_per_atom=-4.185 pbc="T T T"
Zr 6.333 5.604 5.356
Zr 7.028 -5.604 1.785
Ti 3.672 1.195 5.027
Ti 4.368 -1.195 1.457
Ti 8.993 1.195 5.684
Ti 9.689 -1.195 2.113
I 0.900 1.145 4.520
I 4.387 3.567 6.232
I 1.596 -1.145 0.949
I 5.019 1.163 2.644
I 8.278 3.567 4.479
I 4.324 -1.163 6.214
I 9.038 1.163 0.927
I 5.083 -3.567 2.662
I 8.342 -1.163 4.497
I 11.765 1.145 6.192
I 8.974 -3.567 0.909
I 12.461 -1.145 2.621


# 6
8
Lattice="6.925 0.000 0.000 2.353 6.607 0.000 2.894 0.608 6.915" Properties=species:S:1:pos:R:3 comment="PBE Zr2TiI5, optimized geometry" space_group=P1 formation_energy_uncorrected_ev_per_atom=-0.464 dft_energy_ev_per_atom=-4.557 pbc="T T T"
Zr 0.000 0.000 0.000
Zr 4.051 4.133 0.009
Ti 4.959 6.549 1.316
I 2.831 5.137 2.386
I 4.890 2.593 6.359
I 6.093 5.963 4.379
I 5.152 1.840 1.721
I 9.545 5.834 6.431


# 7
5
Lattice="5.545 0.000 0.000 0.000 5.545 0.000 0.000 0.000 5.545" Properties=species:S:1:pos:R:3 comment="PBE ZrTiI3, optimized geometry" space_group=Pm-3m formation_energy_uncorrected_ev_per_atom=0.322 e_above_lowest_polymorph_mev_per_atom=0 dft_energy_ev_per_atom=-3.896 pbc="T T T"
Zr 0.000 0.000 0.000
Ti 2.773 2.773 2.773
I 0.000 2.773 2.773
I 2.773 0.000 2.773
I 2.773 2.773 0.000


# 8
6
Lattice="8.215 -1.875 0.000 8.215 1.875 0.000 -1.190 0.000 6.714" Properties=species:S:1:pos:R:3 comment="PBE ZrTiI4, optimized geometry" space_group=Cm formation_energy_uncorrected_ev_per_atom=-0.779 dft_energy_ev_per_atom=-4.553 pbc="T T T"
Zr 0.000 0.000 0.000
Ti 7.852 0.000 2.491
I 1.758 0.000 2.272
I 5.995 0.000 0.380
I 8.961 0.000 5.454
I 14.263 0.000 3.758


# 9
9
Lattice="8.451 -1.912 0.000 8.451 1.912 0.000 -5.913 0.000 9.499" Properties=species:S:1:pos:R:3 comment="PBE ZrTi2I6, optimized geometry" space_group=C2/m formation_energy_uncorrected_ev_per_atom=-0.699 e_above_lowest_polymorph_mev_per_atom=0 dft_energy_ev_per_atom=-4.436 pbc="T T T"
Zr 0.000 0.000 0.000
Ti 1.851 0.000 6.784
Ti 9.138 0.000 2.715
I -1.356 0.000 2.670
I 2.563 0.000 3.775
I 0.287 0.000 9.023
I 10.702 0.000 0.476
I 8.426 0.000 5.723
I 12.345 0.000 6.828


# 10
8
Lattice="3.500 -7.153 0.000 3.500 7.153 0.000 -2.362 0.000 6.596" Properties=species:S:1:pos:R:3 comment="PBE ZrTiI6, optimized geometry" space_group=C2/m formation_energy_uncorrected_ev_per_atom=-0.762 dft_energy_ev_per_atom=-3.980 pbc="T T T"
Zr 0.000 0.000 0.000
Ti 2.319 0.000 3.298
I 1.185 2.060 1.677
I -0.026 0.000 4.945
I 1.185 -2.060 1.677
I 3.453 2.060 4.919
I 4.664 0.000 1.651
I 3.453 -2.060 4.919


# 11
7
Lattice="-4.334 4.334 4.334 4.334 -4.334 4.334 4.334 4.334 -4.334" Properties=species:S:1:pos:R:3 comment="PBE Tl6I, optimized geometry" space_group=Im-3m formation_energy_uncorrected_ev_per_atom=0.268 dft_energy_ev_per_atom=-1.981 pbc="T T T"
Tl 4.334 2.167 0.000
Tl 4.334 0.000 2.167
Tl 2.167 4.334 0.000
Tl 2.167 0.000 4.334
Tl 0.000 4.334 2.167
Tl 0.000 2.167 4.334
I 0.000 0.000 0.000


# 12
3
Lattice="4.202 -3.947 0.000 4.202 3.947 0.000 -2.063 0.000 4.168" Properties=species:S:1:pos:R:3 comment="PBE TlI2, optimized geometry" space_group=C2/m formation_energy_uncorrected_ev_per_atom=-0.287 e_above_lowest_polymorph_mev_per_atom=135 dft_energy_ev_per_atom=-2.109 pbc="T T T"
Tl 0.000 0.000 0.000
I 1.180 0.000 2.891
I 5.161 0.000 1.277


# 13
10
Lattice="4.092 2.362 7.848 -4.092 2.362 7.848 0.000 -4.725 7.848" Properties=species:S:1:pos:R:3 comment="PBE Tl2I3, optimized geometry" space_group=R-3c formation_energy_uncorrected_ev_per_atom=-0.445 e_above_lowest_polymorph_mev_per_atom=38 dft_energy_ev_per_atom=-2.322 pbc="T T T"
Tl 0.000 0.000 3.781
Tl 0.000 0.000 7.991
Tl 0.000 0.000 15.554
Tl 0.000 0.000 19.764
I -2.764 -0.062 9.810
I -1.328 -2.424 13.735
I 1.435 -2.362 9.810
I -1.435 2.362 13.735
I 1.328 2.424 9.810
I 2.764 0.062 13.735


# 14
12
Lattice="4.821 0.000 0.000 0.000 9.161 0.000 -2.540 0.000 13.151" Properties=species:S:1:pos:R:3 comment="PBE TlI2, optimized geometry" space_group=P2_1/c formation_energy_uncorrected_ev_per_atom=-0.422 e_above_lowest_polymorph_mev_per_atom=0 dft_energy_ev_per_atom=-2.244 pbc="T T T"
Tl -0.672 1.675 3.970
Tl -1.942 2.906 10.546
Tl 4.223 6.256 2.605
Tl 2.953 7.486 9.181
I 0.548 1.164 0.629
I -0.722 3.417 7.204
I 0.497 0.882 8.925
I 1.767 3.699 2.350
I 0.514 5.463 10.801
I 1.784 8.280 4.226
I 3.003 5.745 5.947
I 1.734 7.997 12.522


# 15
3
Lattice="4.646 0.000 0.000 0.000 4.646 0.000 0.000 0.000 6.465" Properties=species:S:1:pos:R:3 comment="PBE TlI2, optimized geometry" space_group=P4/mmm formation_energy_uncorrected_ev_per_atom=-0.415 e_above_lowest_polymorph_mev_per_atom=8 dft_energy_ev_per_atom=-2.237 pbc="T T T"
Tl 0.000 0.000 0.000
I 2.323 2.323 1.630
I 2.323 2.323 4.834


# 16
7
Lattice="-4.760 4.760 4.760 4.760 -4.760 4.760 4.760 4.760 -4.760" Properties=species:S:1:pos:R:3 comment="PBE TlI6, optimized geometry" space_group=Im-3m formation_energy_uncorrected_ev_per_atom=0.359 dft_energy_ev_per_atom=-1.307 pbc="T T T"
Tl 0.000 0.000 0.000
I 4.760 2.380 0.000
I 4.760 0.000 2.380
I 2.380 4.760 0.000
I 2.380 0.000 4.760
I 0.000 4.760 2.380
I 0.000 2.380 4.760


# 17
5
Lattice="6.399 0.000 0.000 0.000 6.399 0.000 0.000 0.000 6.399" Properties=species:S:1:pos:R:3 comment="PBE Tl4I, optimized geometry" space_group=Pm-3m formation_energy_uncorrected_ev_per_atom=0.239 dft_energy_ev_per_atom=-1.964 pbc="T T T"
Tl 0.000 0.000 0.000
Tl 0.000 3.199 3.199
Tl 3.199 0.000 3.199
Tl 3.199 3.199 0.000
I 3.199 3.199 3.199


# 18
10
Lattice="-3.326 3.326 9.187 3.326 -3.326 9.187 3.326 3.326 -9.187" Properties=species:S:1:pos:R:3 comment="PBE Tl2I3, optimized geometry" space_group=I4_1/amd formation_energy_uncorrected_ev_per_atom=-0.484 e_above_lowest_polymorph_mev_per_atom=0 dft_energy_ev_per_atom=-2.360 pbc="T T T"
Tl 3.326 1.663 -3.276
Tl 0.000 1.663 1.318
Tl 3.326 1.663 7.869
Tl 0.000 1.663 12.463
I 3.326 0.000 0.000
I 3.326 -1.663 6.890
I -1.663 1.663 4.593
I 0.000 0.000 9.187
I 1.663 1.663 4.593
I 0.000 4.989 2.297


# 19
6
Lattice="2.325 -12.839 0.000 2.325 12.839 0.000 0.000 0.000 4.645" Properties=species:S:1:pos:R:3 comment="PBE TlI5, optimized geometry" space_group=Cmmm formation_energy_uncorrected_ev_per_atom=-0.086 dft_energy_ev_per_atom=-1.772 pbc="T T T"
Tl 0.000 0.000 0.000
I 2.325 8.644 2.322
I 2.325 4.196 0.000
I 2.325 0.000 2.322
I 2.325 -4.196 0.000
I 2.325 -8.644 2.322


# 20
8
Lattice="-4.211 4.211 6.696 4.211 -4.211 6.696 4.211 4.211 -6.696" Properties=species:S:1:pos:R:3 comment="PBE TmTl2I5, optimized geometry" space_group=I4mm formation_energy_uncorrected_ev_per_atom=-0.958 e_above_lowest_polymorph_mev_per_atom=37 dft_energy_ev_per_atom=-3.077 pbc="T T T"
Tm 0.000 0.000 0.000
Tl 4.211 0.000 2.496
Tl 0.000 4.211 2.496
I 2.032 2.032 0.745
I 2.179 -2.179 7.441
I 0.000 0.000 10.566
I -2.179 2.179 7.441
I 2.179 2.179 7.441


# 21
4
Lattice="2.236 1.291 7.256 -2.236 1.291 7.256 0.000 -2.582 7.256" Properties=species:S:1:pos:R:3 comment="PBE Tm2TlI, optimized geometry" space_group=R-3m formation_energy_uncorrected_ev_per_atom=-0.407 e_above_lowest_polymorph_mev_per_atom=0 dft_energy_ev_per_atom=-3.622 pbc="T T T"
Tm 0.000 0.000 5.095
Tm 0.000 0.000 16.674
Tl 0.000 0.000 10.885
I 0.000 0.000 0.000


# 22
6
Lattice="7.555 -2.229 0.000 7.555 2.229 0.000 -1.553 0.000 8.591" Properties=species:S:1:pos:R:3 comment="PBE TmTlI4, optimized geometry" space_group=C2/m formation_energy_uncorrected_ev_per_atom=-1.123 dft_energy_ev_per_atom=-3.296 pbc="T T T"
Tm 0.000 0.000 0.000
Tl 6.779 0.000 4.296
I 1.334 0.000 2.639
I 5.654 0.000 0.900
I 7.904 0.000 7.691
I 12.223 0.000 5.952


# 23
16
Lattice="9.310 -4.189 0.000 9.310 4.189 0.000 -6.089 0.000 9.414" Properties=species:S:1:pos:R:3 comment="PBE TmTl2I5, optimized geometry" space_group=Cc formation_energy_uncorrected_ev_per_atom=-0.995 e_above_lowest_polymorph_mev_per_atom=0 dft_energy_ev_per_atom=-3.114 pbc="T T T"
Tm 9.310 4.187 0.000
Tm 6.265 -4.187 4.707
Tl 3.426 0.249 4.729
Tl 6.470 -0.249 0.022
Tl 6.067 0.248 9.380
Tl 9.112 -0.248 4.673
I -0.435 0.801 5.941
I 7.789 2.894 2.353
I 3.025 1.555 8.060
I 2.610 -0.801 1.234
I 6.467 1.555 6.054
I 6.069 -1.555 3.353
I 9.923 0.798 8.175
I 9.511 -1.555 1.347
I 4.744 -2.894 7.060
I 12.968 -0.798 3.468


# 24
4
Lattice="2.218 1.281 7.610 -2.218 1.281 7.610 0.000 -2.562 7.610" Properties=species:S:1:pos:R:3 comment="PBE Tm2TlI, optimized geometry" space_group=R3m formation_energy_uncorrected_ev_per_atom=-0.347 e_above_lowest_polymorph_mev_per_atom=60 dft_energy_ev_per_atom=-3.561 pbc="T T T"
Tm 0.000 0.000 0.000
Tm 0.000 0.000 4.645
Tl 0.000 0.000 13.707
I 0.000 0.000 17.663


# 25
7
Lattice="-3.085 3.085 8.618 3.085 -3.085 8.618 3.085 3.085 -8.618" Properties=species:S:1:pos:R:3 comment="PBE UTl2I4, optimized geometry" space_group=I4/mmm formation_energy_uncorrected_ev_per_atom=-0.452 dft_energy_ev_per_atom=-3.626 pbc="T T T"
U 0.000 0.000 0.000
Tl 0.000 0.000 6.479
Tl 0.000 0.000 10.757
I 3.085 0.000 0.000
I 0.000 0.000 3.101
I 0.000 3.085 0.000
I 0.000 0.000 14.135